Entry from Alexandria: a geometry-optimized GdPaTc structure (PBE-GGA).

The structure in extended XYZ format:
```
3
Lattice="3.484 0.000 0.000 0.000 3.484 0.000 -1.742 -1.742 5.653" Properties=species:S:1:pos:R:3 pbc="T T T"
Gd 0.000 0.000 0.038
Pa 0.000 0.000 3.443
Tc 1.742 1.742 2.171
```

ΔH_f (0 K): -0.135 eV/atom
ΔE to the lowest computed polymorph: 0.0 kJ/mol of atoms
magnetic moment: 7.2 μB per cell
space group: I4mm, No. 107